[1]
# Ac4Tl2CdAg (PBE-GGA, relaxed)
data_Ac4Tl2CdAg
_cell_length_a 5.7610
_cell_length_b 5.7610
_cell_length_c 28.2946
_cell_angle_alpha 90.00
_cell_angle_beta 90.00
_cell_angle_gamma 120.00
_space_group_name_H-M_alt 'R -3 m'
_space_group_IT_number 166
_space_group_name_Hall '-R 3 2"'
loop_
_atom_site_label
_atom_site_type_symbol
_atom_site_fract_x
_atom_site_fract_y
_atom_site_fract_z
Ac1 Ac 0.0000 0.0000 0.1222
Ac2 Ac 0.0000 0.0000 0.3722
Tl1 Tl 0.0000 0.0000 0.2474
Cd1 Cd 0.0000 0.0000 0.5000
Ag1 Ag 0.0000 0.0000 0.0000
# N(E_F) = 26.3 states/eV per cell
# energy of formation from the pure elements = -319 meV/atom
# electronic total energy = -3.4360 eV per atom
# M_tot = 0.01 μB per cell

[2]
# Ac2TlCd4Ag3 (PBE-GGA, relaxed)
data_Ac2TlCd4Ag3
_cell_length_a 4.5676
_cell_length_b 4.5676
_cell_length_c 12.6791
_cell_angle_alpha 90.00
_cell_angle_beta 90.00
_cell_angle_gamma 90.00
_space_group_name_H-M_alt 'P -4 m 2'
_space_group_IT_number 115
_space_group_name_Hall 'P -4 -2'
loop_
_atom_site_label
_atom_site_type_symbol
_atom_site_fract_x
_atom_site_fract_y
_atom_site_fract_z
Ac1 Ac 0.0000 0.5000 0.2412
Tl1 Tl 0.0000 0.0000 0.5000
Cd1 Cd 0.0000 0.0000 0.0000
Cd2 Cd 0.0000 0.5000 0.6442
Cd3 Cd 0.5000 0.5000 0.0000
Ag1 Ag 0.0000 0.5000 0.8614
Ag2 Ag 0.5000 0.5000 0.5000
# N(E_F) = 5.3 states/eV per cell
# energy of formation from the pure elements = -220 meV/atom
# electronic total energy = -2.4998 eV per atom
# M_tot = 0.00 μB per cell

[3]
# Ac2TmCd3Ag12 (PBE-GGA, relaxed)
data_Ac2TmCd3Ag12
_cell_length_a 7.2232
_cell_length_b 7.2232
_cell_length_c 30.2006
_cell_angle_alpha 90.00
_cell_angle_beta 90.00
_cell_angle_gamma 120.00
_space_group_name_H-M_alt 'R -3 m'
_space_group_IT_number 166
_space_group_name_Hall '-R 3 2"'
loop_
_atom_site_label
_atom_site_type_symbol
_atom_site_fract_x
_atom_site_fract_y
_atom_site_fract_z
Ac1 Ac 0.0000 0.0000 0.1415
Tm1 Tm 0.0000 0.0000 0.5000
Cd1 Cd 0.0000 0.5000 0.0000
Ag1 Ag 0.0381 0.5190 0.8978
Ag2 Ag 0.0795 0.5397 0.6211
# N(E_F) = 24.0 states/eV per cell
# energy of formation from the pure elements = 45 meV/atom
# electronic total energy = -2.7134 eV per atom
# M_tot = 0.00 μB per cell

[4]
# Ac2YCd12Ag3 (PBE-GGA, relaxed)
data_Ac2YCd12Ag3
_cell_length_a 7.1416
_cell_length_b 7.1416
_cell_length_c 32.9902
_cell_angle_alpha 90.00
_cell_angle_beta 90.00
_cell_angle_gamma 120.00
_space_group_name_H-M_alt 'R -3 m'
_space_group_IT_number 166
_space_group_name_Hall '-R 3 2"'
loop_
_atom_site_label
_atom_site_type_symbol
_atom_site_fract_x
_atom_site_fract_y
_atom_site_fract_z
Ac1 Ac 0.0000 0.0000 0.1417
Y1 Y 0.0000 0.0000 0.5000
Cd1 Cd 0.0474 0.5237 0.8985
Cd2 Cd 0.0595 0.5298 0.7153
Ag1 Ag 0.0000 0.5000 0.0000
# N(E_F) = 33.1 states/eV per cell
# energy of formation from the pure elements = -33 meV/atom
# electronic total energy = -1.9337 eV per atom
# M_tot = 0.00 μB per cell

[5]
# Ac2Zn4Cd3Ag (PBE-GGA, relaxed)
data_Ac2Zn4Cd3Ag
_cell_length_a 4.6686
_cell_length_b 4.6686
_cell_length_c 10.9047
_cell_angle_alpha 90.00
_cell_angle_beta 90.00
_cell_angle_gamma 90.00
_space_group_name_H-M_alt 'P -4 m 2'
_space_group_IT_number 115
_space_group_name_Hall 'P -4 -2'
loop_
_atom_site_label
_atom_site_type_symbol
_atom_site_fract_x
_atom_site_fract_y
_atom_site_fract_z
Ac1 Ac 0.0000 0.5000 0.2482
Zn1 Zn 0.0000 0.0000 0.0000
Zn2 Zn 0.0000 0.5000 0.6286
Zn3 Zn 0.5000 0.5000 0.0000
Cd1 Cd 0.0000 0.5000 0.8715
Cd2 Cd 0.5000 0.5000 0.5000
Ag1 Ag 0.0000 0.0000 0.5000
# N(E_F) = 7.0 states/eV per cell
# energy of formation from the pure elements = -236 meV/atom
# electronic total energy = -2.1267 eV per atom
# M_tot = 0.00 μB per cell

[6]
# Ac3ZnCd2Ag6 (PBE-GGA, relaxed)
data_Ac3ZnCd2Ag6
_cell_length_a 6.1995
_cell_length_b 6.1995
_cell_length_c 9.3203
_cell_angle_alpha 90.00
_cell_angle_beta 90.00
_cell_angle_gamma 120.00
_space_group_name_H-M_alt 'P -3 m 1'
_space_group_IT_number 164
_space_group_name_Hall '-P 3 2"'
loop_
_atom_site_label
_atom_site_type_symbol
_atom_site_fract_x
_atom_site_fract_y
_atom_site_fract_z
Ac1 Ac 0.0000 0.0000 0.0000
Ac2 Ac 0.3333 0.6667 0.6063
Zn1 Zn 0.0000 0.0000 0.5000
Cd1 Cd 0.3333 0.6667 0.0029
Ag1 Ag 0.1771 0.3542 0.2802
# N(E_F) = 6.7 states/eV per cell
# energy of formation from the pure elements = -135 meV/atom
# electronic total energy = -2.8463 eV per atom
# M_tot = 0.00 μB per cell

[7]
# AcZnCdAg (PBE-GGA, relaxed)
data_AcZnCdAg
_cell_length_a 7.3448
_cell_length_b 7.3448
_cell_length_c 7.3448
_cell_angle_alpha 90.00
_cell_angle_beta 90.00
_cell_angle_gamma 90.00
_space_group_name_H-M_alt 'F -4 3 m'
_space_group_IT_number 216
_space_group_name_Hall 'F -4 2 3'
loop_
_atom_site_label
_atom_site_type_symbol
_atom_site_fract_x
_atom_site_fract_y
_atom_site_fract_z
Ac1 Ac 0.0000 0.0000 0.0000
Zn1 Zn 0.2500 0.2500 0.7500
Cd1 Cd 0.0000 0.0000 0.5000
Ag1 Ag 0.2500 0.2500 0.2500
# N(E_F) = 14.0 states/eV per cell
# energy of formation from the pure elements = -226 meV/atom
# electronic total energy = -2.5130 eV per atom
# M_tot = 0.00 μB per cell

[8]
# Ac2ZnCdAg6 (PBE-GGA, relaxed)
data_Ac2ZnCdAg6
_cell_length_a 7.1900
_cell_length_b 7.1900
_cell_length_c 10.1521
_cell_angle_alpha 90.00
_cell_angle_beta 90.00
_cell_angle_gamma 90.00
_space_group_name_H-M_alt 'I 4/m m m'
_space_group_IT_number 139
_space_group_name_Hall '-I 4 2'
loop_
_atom_site_label
_atom_site_type_symbol
_atom_site_fract_x
_atom_site_fract_y
_atom_site_fract_z
Ac1 Ac 0.0000 0.5000 0.2500
Zn1 Zn 0.0000 0.0000 0.0000
Cd1 Cd 0.0000 0.0000 0.5000
Ag1 Ag 0.0000 0.0000 0.2410
Ag2 Ag 0.2409 0.2409 0.0000
# N(E_F) = 14.0 states/eV per cell
# energy of formation from the pure elements = 32 meV/atom
# electronic total energy = -2.7195 eV per atom
# M_tot = 0.00 μB per cell

[9]
# AcZnCd6Ag (PBE-GGA, relaxed)
data_AcZnCd6Ag
_cell_length_a 7.8708
_cell_length_b 9.7128
_cell_length_c 12.1175
_cell_angle_alpha 90.00
_cell_angle_beta 90.00
_cell_angle_gamma 90.00
_space_group_name_H-M_alt 'I m m a'
_space_group_IT_number 74
_space_group_name_Hall '-I 2b 2'
loop_
_atom_site_label
_atom_site_type_symbol
_atom_site_fract_x
_atom_site_fract_y
_atom_site_fract_z
Ac1 Ac 0.0000 0.2500 0.1944
Zn1 Zn 0.2500 0.2500 0.7500
Cd1 Cd 0.0000 0.2500 0.5018
Cd2 Cd 0.0000 0.2500 0.8989
Cd3 Cd 0.1896 0.0014 0.6282
Ag1 Ag 0.0000 0.0000 0.0000
# N(E_F) = 20.0 states/eV per cell
# energy of formation from the pure elements = -19 meV/atom
# electronic total energy = -1.5436 eV per atom
# M_tot = 0.00 μB per cell

[10]
# AcZn2Cd8Ag (PBE-GGA, relaxed)
data_AcZn2Cd8Ag
_cell_length_a 8.6269
_cell_length_b 5.6948
_cell_length_c 11.8824
_cell_angle_alpha 90.00
_cell_angle_beta 104.83
_cell_angle_gamma 90.00
_space_group_name_H-M_alt 'C 1 2/m 1'
_space_group_IT_number 12
_space_group_name_Hall '-C 2y'
loop_
_atom_site_label
_atom_site_type_symbol
_atom_site_fract_x
_atom_site_fract_y
_atom_site_fract_z
Ac1 Ac 0.0000 0.0000 0.0000
Zn1 Zn 0.1254 0.5000 0.8994
Cd1 Cd 0.0300 0.2484 0.2967
Cd2 Cd 0.1773 0.5000 0.5410
Cd3 Cd 0.2243 0.5000 0.1522
Ag1 Ag 0.0000 0.0000 0.5000
# N(E_F) = 8.5 states/eV per cell
# energy of formation from the pure elements = -61 meV/atom
# electronic total energy = -1.4632 eV per atom
# M_tot = 0.00 μB per cell

[11]
# AcZnCdAg3 (PBE-GGA, relaxed)
data_AcZnCdAg3
_cell_length_a 7.1662
_cell_length_b 13.3208
_cell_length_c 6.0791
_cell_angle_alpha 90.00
_cell_angle_beta 90.00
_cell_angle_gamma 90.00
_space_group_name_H-M_alt 'C m c m'
_space_group_IT_number 63
_space_group_name_Hall '-C 2c 2'
loop_
_atom_site_label
_atom_site_type_symbol
_atom_site_fract_x
_atom_site_fract_y
_atom_site_fract_z
Ac1 Ac 0.0000 0.2073 0.2500
Zn1 Zn 0.0000 0.1340 0.7500
Cd1 Cd 0.0000 0.4486 0.2500
Ag1 Ag 0.0000 0.3349 0.7500
Ag2 Ag 0.1931 0.0000 0.0000
# N(E_F) = 9.5 states/eV per cell
# energy of formation from the pure elements = -55 meV/atom
# electronic total energy = -2.5306 eV per atom
# M_tot = 0.00 μB per cell

[12]
# AcZn3CdAg (PBE-GGA, relaxed)
data_AcZn3CdAg
_cell_length_a 6.6091
_cell_length_b 13.3208
_cell_length_c 6.2860
_cell_angle_alpha 90.00
_cell_angle_beta 90.00
_cell_angle_gamma 90.00
_space_group_name_H-M_alt 'C m c m'
_space_group_IT_number 63
_space_group_name_Hall '-C 2c 2'
loop_
_atom_site_label
_atom_site_type_symbol
_atom_site_fract_x
_atom_site_fract_y
_atom_site_fract_z
Ac1 Ac 0.0000 0.2097 0.2500
Zn1 Zn 0.0000 0.3486 0.7500
Zn2 Zn 0.1890 0.0000 0.0000
Cd1 Cd 0.0000 0.4487 0.2500
Ag1 Ag 0.0000 0.1464 0.7500
# N(E_F) = 11.6 states/eV per cell
# energy of formation from the pure elements = -35 meV/atom
# electronic total energy = -1.9843 eV per atom
# M_tot = 0.00 μB per cell